# K4ZnCd4 | Alexandria | PBE | relaxed
# Final energy ... -1.02 eV per atom
# Energy of formation ... 12 meV per atom
# Size of the total moment ... 0.0 μB per formula unit
# Space group ... I-42m (121)
data_K4ZnCd4
_cell_length_a 6.281
_cell_length_b 10.041
_cell_length_c 6.281
_cell_angle_alpha 71.78
_cell_angle_beta 90.00
_cell_angle_gamma 108.22
_symmetry_space_group_name_H-M 'P 1'
_symmetry_Int_Tables_number 1
loop_
_symmetry_equiv_pos_as_xyz
'x,y,z'
loop_
_atom_site_label
_atom_site_type_symbol
_atom_site_fract_x
_atom_site_fract_y
_atom_site_fract_z
_atom_site_occupancy
Cd1 Cd 0.340 0.093 0.247 1
Cd2 Cd 0.753 0.093 0.660 1
Cd3 Cd 0.660 0.907 0.340 1
Cd4 Cd 0.247 0.907 0.753 1
K1 K 0.611 0.685 0.926 1
K2 K 0.926 0.315 0.074 1
K3 K 0.074 0.685 0.389 1
K4 K 0.389 0.315 0.611 1
Zn1 Zn 0.000 0.000 0.000 1